ZrBePd2, relaxed, DFT GGA-PBE; E_form = -0.558 eV/atom; density of states at the Fermi level = 2.24 states/eV/cell; relative energy among the computed polymorphs = 120 meV/atom
1.0
2.911 0.000 0.000
0.000 2.911 0.000
0.000 0.000 7.008
Be Zr Pd
1 1 2
Cartesian
1.455 1.455 0.000
1.455 1.455 3.504
0.000 0.000 5.611
0.000 0.000 1.397

=====

SrHfMg6O8, relaxed, DFT GGA-PBE; density of states at the Fermi level = 2.75 states/eV/cell; relative energy among the computed polymorphs = 0 meV/atom
1.0
4.520 0.000 0.000
0.000 4.520 0.000
0.000 0.000 8.963
Sr Hf Mg O
1 1 6 8
Cartesian
0.000 0.000 0.000
2.260 2.260 0.000
0.000 0.000 4.482
2.260 2.260 4.482
0.000 2.260 2.409
0.000 2.260 6.554
2.260 0.000 2.409
2.260 0.000 6.554
0.000 0.000 2.467
0.000 0.000 6.496
2.260 2.260 2.281
2.260 2.260 6.682
0.000 2.260 0.000
0.000 2.260 4.482
2.260 0.000 0.000
2.260 0.000 4.482

=====

LiCo2BAs, relaxed, DFT GGA-PBE; E_form = -0.040 eV/atom; density of states at the Fermi level = 5.80 states/eV/cell; relative energy among the computed polymorphs = 250 meV/atom
1.0
-3.859 -0.890 -0.389
2.770 -2.590 -1.204
0.066 -5.917 12.882
Li Co B As
3 6 3 3
Cartesian
0.020 -1.766 3.845
0.625 -7.734 11.501
-1.607 -5.195 7.479
0.057 -5.045 10.982
0.595 -5.096 5.756
-1.637 -2.556 1.734
0.007 -0.626 1.363
0.612 -6.594 9.018
-1.620 -4.055 4.996
0.065 -5.794 12.615
0.603 -5.845 7.388
-1.628 -3.306 3.366
0.032 -2.867 6.242
0.571 -2.918 1.016
-1.595 -6.296 9.875

=====

CdGe2Au2, relaxed, DFT GGA-PBE; E_form = 0.074 eV/atom; density of states at the Fermi level = 4.95 states/eV/cell; relative energy among the computed polymorphs = 1 meV/atom
1.0
-0.405 -0.705 -7.474
3.086 -6.839 0.478
-3.260 -1.449 0.313
Ge Au Cd
4 4 2
Cartesian
0.347 -5.367 -0.738
0.687 -6.922 -4.391
-0.927 -3.626 -5.944
-1.267 -2.072 -2.291
2.509 -6.139 -2.282
1.625 -4.981 -6.125
0.172 -1.406 -4.714
1.056 -2.563 -0.871
0.000 0.000 0.000
1.340 -3.772 -3.498

=====

HAuS, relaxed, DFT GGA-PBE; relative energy among the computed polymorphs = 162 meV/atom
1.0
4.079 -0.001 -0.011
1.720 3.986 -0.012
1.787 1.504 3.665
H Au S
1 1 1
Cartesian
4.819 4.108 0.715
1.577 1.582 1.684
1.849 3.439 0.256

=====

Sm4PdSe2S, relaxed, DFT GGA-PBE; density of states at the Fermi level = 3.98 states/eV/cell; total DFT energy (no corrections) = -47.907 eV for the cell shown
1.0
-2.719 1.088 -2.833
4.712 -1.724 -5.185
-3.989 -5.818 1.595
Sm Pd Se S
4 1 2 1
Cartesian
-1.188 -1.269 -2.277
-0.809 -5.185 -4.145
-1.845 -4.862 -0.096
2.567 -2.680 -3.494
0.996 -0.318 -4.009
-3.354 -2.365 -0.619
0.361 -3.771 -1.795
0.000 0.000 0.000

=====

Sr6TlCd, relaxed, DFT GGA-PBE; E_form = -0.200 eV/atom; density of states at the Fermi level = 6.03 states/eV/cell
1.0
-0.837 -5.599 1.556
5.320 -1.371 -2.071
6.337 -1.533 8.967
Sr Tl Cd
6 1 1
Cartesian
6.538 -5.991 4.113
5.140 -4.703 7.992
8.218 -2.589 6.178
5.681 -3.799 0.461
4.282 -2.512 4.339
2.602 -5.913 2.275
2.242 -3.485 -0.258
0.000 0.000 0.000

=====

Ac6NiIr2Br2, relaxed, DFT GGA-PBE; density of states at the Fermi level = 5.51 states/eV/cell; total DFT energy (no corrections) = -61.264 eV for the cell shown
1.0
-3.664 -3.595 5.562
1.381 -3.577 -6.526
7.753 -0.249 3.235
Ac Ni Ir Br
6 1 2 2
Cartesian
3.743 -5.395 1.555
5.705 -1.850 0.032
1.726 -2.027 0.718
4.037 -1.856 4.029
-0.236 -5.571 2.240
1.433 -5.565 -1.757
3.877 -0.125 1.618
3.589 -3.708 -0.910
1.881 -3.714 3.182
-2.824 -3.592 3.549
0.540 -3.580 -4.512